Record 1
Material: ScGaNi2
Method: DFT, PBE-GGA
State: optimized geometry

```
ScGaNi2
1.0
6.826 0.000 0.000
0.000 6.568 0.000
0.000 0.000 5.250
Sc Ga Ni
4 4 8
direct
0.031 0.250 0.153
0.469 0.750 0.653
0.531 0.250 0.347
0.969 0.750 0.847
0.114 0.750 0.349
0.386 0.250 0.849
0.614 0.750 0.151
0.886 0.250 0.651
0.184 0.054 0.578
0.184 0.446 0.578
0.316 0.554 0.078
0.316 0.946 0.078
0.684 0.054 0.922
0.684 0.446 0.922
0.816 0.554 0.422
0.816 0.946 0.422
```

Computed properties:
* crystal system: orthorhombic
* final energy: -90.340 eV for the cell shown

***

Record 2
Material: ScGaNi2
Method: DFT, PBE-GGA
State: optimized geometry

```
ScGaNi2
1.0
4.170 0.000 0.000
0.000 4.170 0.000
0.000 0.000 3.252
Sc Ga Ni
1 1 2
direct
0.000 0.000 0.000
0.500 0.500 0.000
0.000 0.500 0.500
0.500 0.000 0.500
```

Computed properties:
* crystal system: tetragonal
* final energy: -22.371 eV for the cell shown

***

Record 3
Material: Sc2GaNi2
Method: DFT, PBE-GGA
State: optimized geometry

```
Sc2GaNi2
1.0
-1.831 1.831 6.075
1.831 -1.831 6.075
1.831 1.831 -6.075
Sc Ga Ni
2 1 2
direct
0.112 0.112 0.000
0.888 0.888 0.000
0.500 0.500 0.000
0.250 0.750 0.500
0.750 0.250 0.500
```

Computed properties:
* crystal system: tetragonal
* final energy: -27.517 eV for the cell shown

***

Record 4
Material: ScGaNi2
Method: DFT, PBE-GGA
State: optimized geometry

```
ScGaNi2
1.0
0.000 3.044 3.044
3.044 0.000 3.044
3.044 3.044 0.000
Sc Ga Ni
1 1 2
direct
0.000 0.000 0.000
0.250 0.250 0.250
0.500 0.500 0.500
0.750 0.750 0.750
```

Computed properties:
* crystal system: cubic
* final energy: -21.954 eV for the cell shown

***

Record 5
Material: Sc2GaNi2
Method: DFT, PBE-GGA
State: optimized geometry

```
Sc2GaNi2
1.0
-2.457 2.457 3.565
2.457 -2.457 3.565
2.457 2.457 -3.565
Sc Ga Ni
2 1 2
direct
0.250 0.750 0.500
0.750 0.250 0.500
0.000 0.000 0.000
0.344 0.344 0.000
0.656 0.656 0.000
```

Computed properties:
* crystal system: tetragonal
* final energy: -28.603 eV for the cell shown

***

Record 6
Material: ScGaNi2
Method: DFT, PBE-GGA
State: optimized geometry

```
ScGaNi2
1.0
3.105 0.000 0.000
0.000 3.105 0.000
0.000 0.000 5.836
Sc Ga Ni
1 1 2
direct
0.000 0.000 0.000
0.000 0.000 0.500
0.500 0.500 0.276
0.500 0.500 0.724
```

Computed properties:
* crystal system: tetragonal
* final energy: -22.395 eV for the cell shown

***

Record 7
Material: ScTaGaNi
Method: DFT, PBE-GGA
State: optimized geometry

```
ScTaGaNi
1.0
0.000 3.211 3.211
3.211 0.000 3.211
3.211 3.211 0.000
Sc Ta Ga Ni
1 1 1 1
direct
0.000 0.000 0.000
0.250 0.250 0.250
0.500 0.500 0.500
0.750 0.750 0.750
```

Computed properties:
* crystal system: cubic
* energy above the lowest structure with this stoichiometry: 0.000 eV/atom

***

Record 8
Material: YScGaNi
Method: DFT, PBE-GGA
State: optimized geometry

```
YScGaNi
1.0
0.000 3.317 3.317
3.317 0.000 3.317
3.317 3.317 0.000
Y Sc Ga Ni
1 1 1 1
direct
0.000 0.000 0.000
0.250 0.250 0.250
0.500 0.500 0.500
0.750 0.750 0.750
```

Computed properties:
* crystal system: cubic
* final energy: -22.121 eV for the cell shown

***

Calculated values (μB per formula unit) of magnetic moment for the records, taken in order: 0.00; 0.00; 0.01; 0.01; 0.00; 0.00; 2.98; 0.90.